# 1
4
Lattice="4.476 -1.343 0.000 4.476 1.343 0.000 -0.799 0.000 4.602" Properties=species:S:1:pos:R:3 comment="ReIrRh2 | the Alexandria database | PBEsol | optimized geometry" spacegroup="No. 8" m_tot_mub_per_fu=0.000 pbc="T T T"
Re 0.000 0.000 0.000
Ir 6.494 0.000 1.124
Rh 1.656 0.000 3.449
Rh 4.057 0.000 2.298


# 2
4
Lattice="4.491 -1.348 0.000 4.491 1.348 0.000 -0.801 0.000 4.619" Properties=species:S:1:pos:R:3 comment="ReIr2Rh | the Alexandria database | PBEsol | optimized geometry" spacegroup="No. 12" m_tot_mub_per_fu=0.000 pbc="T T T"
Re 0.000 0.000 0.000
Ir 1.670 0.000 3.475
Ir 6.511 0.000 1.144
Rh 4.090 0.000 2.309


# 3
4
Lattice="2.679 0.000 0.000 0.000 3.844 0.000 0.000 0.000 5.372" Properties=species:S:1:pos:R:3 comment="ReIrRh2 | the Alexandria database | PBEsol | optimized geometry" spacegroup="No. 47" m_tot_mub_per_fu=0.000 pbc="T T T"
Re 0.000 0.000 0.000
Ir 0.000 0.000 2.686
Rh 1.339 1.922 1.326
Rh 1.339 1.922 4.047


# 4
4
Lattice="1.351 0.780 8.875 -1.351 0.780 8.875 0.000 -1.560 8.875" Properties=species:S:1:pos:R:3 comment="ReIr2Rh | the Alexandria database | PBEsol | optimized geometry" spacegroup="No. 160" m_tot_mub_per_fu=0.000 pbc="T T T"
Re 0.000 0.000 0.000
Ir 0.000 0.000 13.325
Ir 0.000 0.000 19.944
Rh 0.000 0.000 6.689


# 5
4
Lattice="2.698 0.000 0.000 0.000 3.830 0.000 0.000 0.000 5.411" Properties=species:S:1:pos:R:3 comment="ReIr2Rh | the Alexandria database | PBEsol | optimized geometry" spacegroup="No. 47" m_tot_mub_per_fu=0.000 pbc="T T T"
Re 0.000 0.000 0.000
Ir 1.349 1.915 1.344
Ir 1.349 1.915 4.067
Rh 0.000 0.000 2.706


# 6
4
Lattice="2.689 -3.903 0.000 2.689 3.903 0.000 0.000 0.000 2.684" Properties=species:S:1:pos:R:3 comment="Re2IrRh | the Alexandria database | PBEsol | optimized geometry" spacegroup="No. 65" m_tot_mub_per_fu=0.000 pbc="T T T"
Re 1.345 1.951 0.000
Re 1.345 -1.951 0.000
Ir 0.000 0.000 1.342
Rh 2.689 0.000 1.342


Energy of formation (eV per atom)
-0.0877; -0.1007; -0.0764; -0.0673; -0.1379; -0.1148
ΔE to the lowest computed polymorph (eV per formula unit)
0.12; 0.15; 0.16; 0.28; 0.00; 0.55